Here is La2CuSi after structural relaxation from the Alexandria database. Energies are from GGA-PBE.

Unit cell a=3.3876 b=3.3876 c=8.5589 alpha=90.00 beta=90.00 gamma=90.00
Fractional positions:
La (0.0000, 0.0000, 0.0000)
La (0.5000, 0.5000, 0.3872)
Cu (0.5000, 0.5000, 0.7576)
Si (0.0000, 0.0000, 0.6332)

Computed properties:
Its space-group type is P4mm, No. 99. The value obtained for the energy is -4.89 eV/atom. The size of the total moment comes out at 0.001 μB/cell.



Here is Cs2NaGe2I7 after structural relaxation from the Alexandria database. Energies are from GGA-PBE.

Unit cell a=5.9879 b=5.9879 c=15.9336 alpha=100.27 beta=100.27 gamma=89.11
Fractional positions:
Cs (0.1736, 0.1736, 0.3570)
Cs (0.8264, 0.8264, 0.6430)
Na (0.0000, 0.0000, 0.0000)
Ge (0.3822, 0.3822, 0.8050)
Ge (0.6178, 0.6178, 0.1950)
I (0.0822, 0.5854, 0.1813)
I (0.3016, 0.3016, 0.6111)
I (0.4146, 0.9178, 0.8187)
I (0.5000, 0.5000, 0.0000)
I (0.5854, 0.0822, 0.1813)
I (0.6984, 0.6984, 0.3889)
I (0.9178, 0.4146, 0.8187)

Computed properties:
Its space-group type is C2/m, No. 12. The value obtained for the energy is -2.75 eV/atom. The size of the total moment comes out at 0.000 μB/cell.



Copy entry 1 word for word.
Here is La2CuSi after structural relaxation from the Alexandria database. Energies are from GGA-PBE.

Unit cell a=3.3876 b=3.3876 c=8.5589 alpha=90.00 beta=90.00 gamma=90.00
Fractional positions:
La (0.0000, 0.0000, 0.0000)
La (0.5000, 0.5000, 0.3872)
Cu (0.5000, 0.5000, 0.7576)
Si (0.0000, 0.0000, 0.6332)

Computed properties:
Its space-group type is P4mm, No. 99. The value obtained for the energy is -4.89 eV/atom. The size of the total moment comes out at 0.001 μB/cell.



Please write out number 1 again, unchanged.
Here is La2CuSi after structural relaxation from the Alexandria database. Energies are from GGA-PBE.

Unit cell a=3.3876 b=3.3876 c=8.5589 alpha=90.00 beta=90.00 gamma=90.00
Fractional positions:
La (0.0000, 0.0000, 0.0000)
La (0.5000, 0.5000, 0.3872)
Cu (0.5000, 0.5000, 0.7576)
Si (0.0000, 0.0000, 0.6332)

Computed properties:
Its space-group type is P4mm, No. 99. The value obtained for the energy is -4.89 eV/atom. The size of the total moment comes out at 0.001 μB/cell.



Question: size of the total moment of number 1 (La2CuSi)?
Answer: 0.001 μB/cell